A relaxed Ca2PW crystal. Source: the Alexandria database, functional PBE-GGA.

a b c (Å): 4.1141 4.3308 11.0140
angles (deg): 90.00 90.00 90.00
Space group Amm2 (No. 38)
Asymmetric unit:
Ca1 0.0000 0.0000 0.0000
Ca2 0.5000 0.0000 0.2951
P1 0.0000 0.0000 0.7009
W1 0.5000 0.0000 0.5982

ΔE to the lowest computed polymorph	103	meV per atom
formation enthalpy at 0 K	0.044	eV/f.u.
total magnetization	0.00	Bohr magnetons per cell
DOS at the Fermi energy	6.0	states/eV per cell